NaMn3Ag: optimized geometry, GGA-PBE.

Results
DFT formation energy   1038 meV/atom
Energy above the lowest structure with this stoichiometry   0.0 meV per atom
Uncorrected energy   -26.49 eV/cell
DOS(E_F)   2.6 states/eV/f.u.

a = 5.0515 Å, b = 5.0515 Å, c = 5.0515 Å
α = 90.00°, β = 90.00°, γ = 90.00°
Last column: magnetic moment on the atom in μB.
Atoms (fractional coordinates):
Na (0.5000, 0.5000, 0.5000)  -0.02
Mn (0.0000, 0.5000, 0.0000)  4.18
Mn (0.0000, 0.0000, 0.5000)  4.24
Mn (0.5000, 0.0000, 0.0000)  4.01
Ag (0.0000, 0.0000, 0.0000)  0.10